A plane-wave DFT calculation with PBE-GGA was carried out for PmSmSiPt after structural relaxation.

The calculation puts the energy relative to the lowest polymorph listed for this composition at 0.000 eV per atom. The calculation puts the total energy at -0.228 hartree per atom. The space-group type is No. 38. Its uncorrected formation energy is -0.96 eV/atom.

a = 4.1323 Å, b = 4.2148 Å, c = 5.8631 Å
α = 90.00°, β = 110.63°, γ = 90.00°
Positions (direct):
Pt (0.4239, 0.0000, 0.8479)
Si (0.5729, 0.5000, 0.1457)
Pm (0.1419, 0.0000, 0.2838)
Sm (0.8613, 0.5000, 0.7226)